1.
4
Lattice="3.249 0.000 0.000 0.000 3.613 0.000 0.000 0.000 6.043" Properties=species:S:1:pos:R:3 comment="ScTeRh2 PBE optimized geometry" crystal_system=orthorhombic pbc="T T T"
Sc 0.000 0.000 0.000
Te 0.000 0.000 3.021
Rh 1.625 1.807 1.496
Rh 1.625 1.807 4.547


2.
4
Lattice="0.000 3.282 3.282 3.282 0.000 3.282 3.282 3.282 0.000" Properties=species:S:1:pos:R:3 comment="ScTeRh2 PBE optimized geometry" crystal_system=cubic pbc="T T T"
Sc 0.000 0.000 0.000
Te 1.641 1.641 1.641
Rh 3.282 3.282 3.282
Rh 4.923 4.923 4.923


3.
4
Lattice="3.865 0.000 0.000 0.000 3.865 0.000 0.000 0.000 6.074" Properties=species:S:1:pos:R:3 comment="Sc2TeRh PBE optimized geometry" crystal_system=tetragonal pbc="T T T"
Sc 0.000 0.000 0.000
Sc 1.932 1.932 2.079
Te 0.000 0.000 3.122
Rh 1.932 1.932 5.714


Number 1: density 8.86 Mg/m³, DOS(E_F) 0.793 states/eV per atom, total DFT energy (no corrections) -6.586 eV per atom. Number 2: density 8.89 Mg/m³, DOS(E_F) 1.469 states/eV per atom, total DFT energy (no corrections) -6.372 eV per atom. Number 3: density 5.86 Mg/m³, DOS(E_F) 0.952 states/eV per atom, total DFT energy (no corrections) -6.563 eV per atom.